Cr2RuBr | PBEsol | relaxed

Properties
Distance to the lowest polymorph of the same formula ... 41.5 meV/atom
E_form (uncorrected) ... 0.67 eV/atom
M_tot ... 0.111 μB per atom
Total energy ... -7.46 eV/atom
Space-group type ... Pmm2, No. 25

The structure in POSCAR format:
```
Cr2RuBr
1.0
2.939 0.000 0.281
0.000 4.326 0.000
-0.426 0.000 4.441
Cr Ru Br
2 1 1
Cartesian
2.569 4.326 0.283
2.264 2.163 3.466
0.872 4.326 2.515
1.003 2.163 1.101
```


ScTcPt2 | PBEsol | relaxed

Properties
Distance to the lowest polymorph of the same formula ... 92.8 meV/atom
E_form ... -535 meV per atom
M_tot ... 0.000 μB per atom
Total energy ... -8.48 eV/atom
Space-group type ... P4/mmm, No. 123

The structure in POSCAR format:
```
ScTcPt2
1.0
-0.558 1.231 2.430
0.265 -2.444 1.299
7.738 1.405 1.064
Pt Sc Tc
2 1 1
Cartesian
5.727 1.040 0.788
2.011 0.365 0.277
-0.146 -0.607 1.865
3.723 0.096 2.397
```


LiCuC2 | PBEsol | relaxed

Properties
E_form ... 1209 meV per atom
M_tot ... 0.000 μB per atom
Total energy ... -5.19 eV/atom
Space-group type ... I4_1/amd, No. 141

The structure in POSCAR format:
```
LiCuC2
1.0
-0.967 0.632 -3.194
-2.582 -2.179 0.351
-2.199 5.835 3.626
Cu C Li
2 4 2
Cartesian
0.000 0.000 0.000
-3.278 1.441 1.277
-2.930 -0.369 0.814
-4.513 2.864 1.030
-1.639 0.720 0.639
-4.029 2.548 2.627
-1.774 -0.774 -1.422
-2.470 2.846 -0.495
```